Entry 1:
Below is a geometry-optimized Tb2P4Ir3Rh structure, with properties calculated at the GGA-PBE level.

Output
raw total energy: -7.512 eV per atom

Unit cell a=4.147 b=4.147 c=9.506 alpha=90.00 beta=90.00 gamma=90.00
Fractional coordinates of all 10 atoms:
1 Tb 0.000 0.500 0.242
2 Tb 0.500 0.000 0.758
3 P 0.000 0.000 0.000
4 P 0.000 0.500 0.640
5 P 0.500 0.000 0.360
6 P 0.500 0.500 0.000
7 Ir 0.000 0.500 0.886
8 Ir 0.500 0.000 0.114
9 Ir 0.500 0.500 0.500
10 Rh 0.000 0.000 0.500

Entry 2:
Below is a geometry-optimized ScNbFeTc2 structure, with properties calculated at the GGA-PBE level.

Output
raw total energy: -7.662 eV per atom

Unit cell a=4.599 b=4.599 c=4.191 alpha=90.00 beta=90.00 gamma=90.00
Fractional coordinates of all 5 atoms:
1 Sc 0.000 0.000 0.000
2 Nb 0.500 0.500 0.500
3 Fe 0.000 0.000 0.500
4 Tc 0.000 0.500 0.000
5 Tc 0.500 0.000 0.000

Entry 3:
Below is a geometry-optimized Li2MoI structure, with properties calculated at the GGA-PBE level.

Output
offset from the most stable computed form: 88.9 meV per atom
formation energy from raw total energies: 0.7702 eV/atom

Unit cell a=4.912 b=4.912 c=4.912 alpha=60.00 beta=60.00 gamma=60.00
Fractional coordinates of all 4 atoms:
1 Li 0.250 0.250 0.250
2 Li 0.750 0.750 0.750
3 Mo 0.000 0.000 0.000
4 I 0.500 0.500 0.500

Entry 4:
Below is a geometry-optimized SrCaY structure, with properties calculated at the GGA-PBE level.

Output
offset from the most stable computed form: 19.0 meV per atom

Unit cell a=6.108 b=6.108 c=7.539 alpha=90.19 beta=90.19 gamma=59.83
Fractional coordinates of all 6 atoms:
1 Sr 0.000 0.000 0.242
2 Sr 0.000 0.000 0.758
3 Ca 0.333 0.333 0.415
4 Ca 0.667 0.667 0.585
5 Y 0.333 0.333 0.930
6 Y 0.667 0.667 0.070

Entry 5:
Below is a geometry-optimized Ta3BiTe structure, with properties calculated at the GGA-PBE level.

Output
offset from the most stable computed form: 0.0 meV per atom
formation energy from raw total energies: 1.6513 eV/atom

Unit cell a=5.060 b=5.060 c=5.060 alpha=90.00 beta=90.00 gamma=90.00
Fractional coordinates of all 5 atoms:
1 Ta 0.000 0.000 0.500
2 Ta 0.000 0.500 0.000
3 Ta 0.500 0.000 0.000
4 Bi 0.500 0.500 0.500
5 Te 0.000 0.000 0.000

Entry 6:
Below is a geometry-optimized Li2TeH2 structure, with properties calculated at the GGA-PBE level.

Output
offset from the most stable computed form: 374.1 meV per atom

Unit cell a=7.248 b=7.248 c=7.248 alpha=154.50 beta=154.50 gamma=36.38
Fractional coordinates of all 5 atoms:
1 Li 0.186 0.186 0.000
2 Li 0.814 0.814 0.000
3 Te 0.500 0.500 0.000
4 H 0.250 0.750 0.500
5 H 0.750 0.250 0.500

Number 1: magnetic moment 0.00 μB/atom. Number 2: magnetic moment 0.33 μB/atom. Number 3: magnetic moment 1.05 μB/atom. Number 4: magnetic moment 0.01 μB/atom. Number 5: magnetic moment 0.00 μB/atom. Number 6: magnetic moment 0.00 μB/atom.